[1]
The following is a DFT calculation (PBE-GGA) of an optimized crystal structure of Ca2Hg.

Summary:
VASP energy ... -1.227 eV/atom
Calculated volume ... 108.86 Å³/f.u.
Symmetry ... Fd-3m (227)
Calculated density ... 4.283 Mg/m³
DFT formation energy ... 208 meV per atom

Structure (CIF):
```
data_Ca2Hg
_chemical_formula_sum 'Ca4 Hg2'
_space_group_name_H-M_alt 'P 1'
_space_group_IT_number 1
_cell_length_a 6.753
_cell_length_b 6.753
_cell_length_c 6.753
_cell_angle_alpha 60.00
_cell_angle_beta 60.00
_cell_angle_gamma 60.00
loop_
_space_group_symop_operation_xyz
'x,y,z'
loop_
_atom_site_label
_atom_site_fract_x
_atom_site_fract_y
_atom_site_fract_z
_atom_site_occupancy
Hg1 0.750 0.750 0.750 1
Hg2 0.500 0.500 0.500 1
Ca1 0.625 0.125 0.125 1
Ca2 0.125 0.125 0.625 1
Ca3 0.125 0.125 0.125 1
Ca4 0.125 0.625 0.125 1
```

[2]
The following is a DFT calculation (PBE-GGA) of an optimized crystal structure of Ba2HgTe4.

Summary:
VASP energy ... -3.383 eV/atom
Calculated volume ... 275.10 Å³/f.u.
Symmetry ... P2_1/m (11)
Calculated density ... 5.950 Mg/m³
ΔE_f (raw) ... -0.995 eV/atom
Energy relative to the lowest polymorph listed for this composition ... 0 meV per atom

Structure (CIF):
```
data_Ba2HgTe4
_chemical_formula_sum 'Ba4 Hg2 Te8'
_space_group_name_H-M_alt 'P 1'
_space_group_IT_number 1
_cell_length_a 6.557
_cell_length_b 8.605
_cell_length_c 10.867
_cell_angle_alpha 63.81
_cell_angle_beta 90.00
_cell_angle_gamma 90.00
loop_
_space_group_symop_operation_xyz
'x,y,z'
loop_
_atom_site_label
_atom_site_fract_x
_atom_site_fract_y
_atom_site_fract_z
_atom_site_occupancy
Te1 0.533 0.781 0.723 1
Te2 0.467 0.219 0.277 1
Te3 0.750 0.261 0.904 1
Te4 0.250 0.325 0.625 1
Te5 0.250 0.739 0.096 1
Te6 0.967 0.781 0.723 1
Te7 0.750 0.675 0.375 1
Te8 0.033 0.219 0.277 1
Ba1 0.750 0.209 0.576 1
Ba2 0.250 0.385 0.936 1
Ba3 0.250 0.791 0.424 1
Ba4 0.750 0.615 0.064 1
Hg1 0.250 0.011 0.846 1
Hg2 0.750 0.989 0.154 1
```